Below is CoPdSO after structural relaxation, with properties calculated at the GGA+U level.

a = 3.858 Å, b = 3.858 Å, c = 7.456 Å
α = 90.00°, β = 90.00°, γ = 90.00°
Element x y z (fractional)
Co  0.750  0.750  0.241
Co  0.250  0.250  0.759
O  0.750  0.750  0.497
O  0.250  0.250  0.503
Pd  0.750  0.250  0.000
Pd  0.250  0.750  0.000
S  0.250  0.250  0.297
S  0.750  0.750  0.703

Values from the calculation:
For the energy above the most stable polymorph in this dataset, the calculation gives 0.435 eV/atom. The calculation puts the total energy at -4.824 eV/atom. The calculation puts the magnetic moment at 0.62 μB per atom.